A plane-wave DFT calculation with PBE was carried out for a relaxed structure of La3Ho4Er5.

abc: 17.731 5.682 8.630
angles: 90.00 114.09 90.00
Space group C2/m (No. 12)
Inequivalent atoms, fractional coordinates:
La: 0.000 0.000 0.000 [2 per cell]
La: 0.182 0.500 0.235 [4 per cell]
Ho: 0.048 0.500 0.699 [4 per cell]
Ho: 0.221 0.500 0.651 [4 per cell]
Er: 0.000 0.500 0.000 [2 per cell]
Er: 0.090 0.000 0.448 [4 per cell]
Er: 0.166 0.000 0.899 [4 per cell]

Computed properties:
As for the distance to the lowest polymorph of the same formula: 252.2 meV/atom.

=====

A plane-wave DFT calculation with PBE was carried out for a relaxed structure of Pm2In5IrRh2.

abc: 10.277 10.277 4.097
angles: 90.00 90.00 90.00
Space group P4/mbm (No. 127)
Inequivalent atoms, fractional coordinates:
Pm: 0.182 0.318 0.000 [4 per cell]
In: 0.000 0.500 0.500 [2 per cell]
In: 0.056 0.803 0.500 [8 per cell]
Ir: 0.000 0.000 0.000 [2 per cell]
Rh: 0.120 0.620 0.000 [4 per cell]

Computed properties:
As for the calculated total energy: -5.064 eV per atom.

=====

A plane-wave DFT calculation with PBE was carried out for a relaxed structure of PdPbSeN2.

abc: 4.292 4.292 5.747
angles: 90.00 90.00 90.00
Space group P4/mmm (No. 123)
Inequivalent atoms, fractional coordinates:
Pd: 0.000 0.000 0.000 [1 per cell]
Pb: 0.500 0.500 0.500 [1 per cell]
Se: 0.500 0.500 0.000 [1 per cell]
N: 0.000 0.500 0.500 [2 per cell]

Computed properties:
The formation energy (no corrections) comes out at 1.776 eV/atom. As for the distance to the lowest polymorph of the same formula: 621.3 meV/atom.

=====

A plane-wave DFT calculation with PBE was carried out for a relaxed structure of Pm2Ho3Tm7.

abc: 5.621 37.346 3.582
angles: 90.00 90.00 90.00
Space group Cmmm (No. 65)
Inequivalent atoms, fractional coordinates:
Pm: 0.000 0.147 0.000 [4 per cell]
Ho: 0.000 0.314 0.500 [4 per cell]
Ho: 0.000 0.500 0.500 [2 per cell]
Tm: 0.000 0.000 0.000 [2 per cell]
Tm: 0.000 0.071 0.500 [4 per cell]
Tm: 0.000 0.230 0.000 [4 per cell]
Tm: 0.000 0.411 0.000 [4 per cell]

Computed properties:
As for the distance to the lowest polymorph of the same formula: 0.0 meV/atom.

=====

A plane-wave DFT calculation with PBE was carried out for a relaxed structure of Sr2BiN.

abc: 7.680 7.680 8.385
angles: 90.00 90.00 90.00
Space group I-42d (No. 122)
Inequivalent atoms, fractional coordinates:
Sr: 0.146 0.250 0.125 [8 per cell]
Bi: 0.000 0.000 0.500 [4 per cell]
N: 0.000 0.000 0.000 [4 per cell]

Computed properties:
The formation energy (no corrections) comes out at -0.329 eV/atom. As for the distance to the lowest polymorph of the same formula: 160.1 meV/atom.

=====

A plane-wave DFT calculation with PBE was carried out for a relaxed structure of MgHg2Pb2.

abc: 7.514 7.514 4.880
angles: 90.00 90.00 90.00
Space group P4/mbm (No. 127)
Inequivalent atoms, fractional coordinates:
Mg: 0.000 0.000 0.000 [2 per cell]
Hg: 0.143 0.357 0.000 [4 per cell]
Pb: 0.168 0.668 0.500 [4 per cell]

Computed properties:
As for the distance to the lowest polymorph of the same formula: 92.0 meV/atom.

=====

A plane-wave DFT calculation with PBE was carried out for a relaxed structure of MnCrCl2.

abc: 2.9731 2.9731 22.6042
angles: 90.00 90.00 120.00
Space group R-3m (No. 166, hexagonal axes)
Inequivalent atoms, fractional coordinates:
Mn: 0.0000 0.0000 0.0000 [3 per cell]
Cr: 0.0000 0.0000 0.5000 [3 per cell]
Cl: 0.0000 0.0000 0.0954 [6 per cell]

Computed properties:
The formation energy (no corrections) comes out at 0.414 eV/atom. As for the distance to the lowest polymorph of the same formula: 686.0 meV/atom.

=====

A plane-wave DFT calculation with PBE was carried out for a relaxed structure of Nd15Y4Er.

abc: 5.170 5.170 25.729
angles: 90.00 90.00 90.00
Space group P4/mmm (No. 123)
Inequivalent atoms, fractional coordinates:
Nd: 0.000 0.000 0.000 [1 per cell]
Nd: 0.000 0.000 0.199 [2 per cell]
Nd: 0.000 0.000 0.400 [2 per cell]
Nd: 0.000 0.500 0.099 [4 per cell]
Nd: 0.000 0.500 0.300 [4 per cell]
Nd: 0.000 0.500 0.500 [2 per cell]
Y: 0.500 0.500 0.200 [2 per cell]
Y: 0.500 0.500 0.400 [2 per cell]
Er: 0.500 0.500 0.000 [1 per cell]

Computed properties:
As for the calculated total energy: -5.088 eV per atom.

=====

A plane-wave DFT calculation with PBE was carried out for a relaxed structure of SiHg2Pb.

abc: 3.459 5.266 5.431
angles: 90.00 90.00 90.00
Space group Pmmm (No. 47)
Inequivalent atoms, fractional coordinates:
Si: 0.000 0.000 0.000 [1 per cell]
Hg: 0.000 0.500 0.500 [1 per cell]
Hg: 0.500 0.000 0.500 [1 per cell]
Pb: 0.500 0.500 0.000 [1 per cell]

Computed properties:
The formation energy (no corrections) comes out at 0.361 eV/atom. As for the distance to the lowest polymorph of the same formula: 97.4 meV/atom.

=====

A plane-wave DFT calculation with PBE was carried out for a relaxed structure of NbGeBi2.

abc: 6.511 6.511 13.426
angles: 90.00 90.00 90.00
Space group I-42d (No. 122)
Inequivalent atoms, fractional coordinates:
Nb: 0.000 0.000 0.000 [4 per cell]
Ge: 0.000 0.000 0.500 [4 per cell]
Bi: 0.241 0.250 0.125 [8 per cell]

Computed properties:
As for the calculated total energy: -4.907 eV per atom.

=====

A plane-wave DFT calculation with PBE was carried out for a relaxed structure of Gd2NiAu.

abc: 3.9624 3.9624 26.1477
angles: 90.00 90.00 120.00
Space group R-3m (No. 166, hexagonal axes)
Inequivalent atoms, fractional coordinates:
Gd: 0.0000 0.0000 0.1104 [6 per cell]
Ni: 0.0000 0.0000 0.5000 [3 per cell]
Au: 0.0000 0.0000 0.0000 [3 per cell]

Computed properties:
As for the calculated total energy: -9.357 eV per atom.

=====

The calculation returns the following total magnetization values, one per record and in order: 0.2 0.0 3.3 0.0 0.0 0.0 0.0 0.0 0.0 1.3 14.4 μB per formula unit.